# 1
A plane-wave DFT calculation with SCAN was carried out for a PBEsol-optimized structure of LiVF4.

Computed properties:
symmetry = No. 15
raw formation energy = -3.20 eV per atom
relative energy among the computed polymorphs = 14 meV/atom

Cell: 6.3865 6.3865 5.3739 Å, 91.86 91.86 47.00°
Fractional coordinates of all 12 atoms:
Li 0.9997 0.0003 0.2500
Li 0.0003 0.9997 0.7500
V 0.0000 0.5000 0.0000
V 0.5000 0.0000 0.5000
F 0.0510 0.7640 0.9927
F 0.2325 0.3350 0.2994
F 0.2360 0.9490 0.5073
F 0.3350 0.2325 0.7994
F 0.6650 0.7675 0.2006
F 0.7640 0.0510 0.4927
F 0.7675 0.6650 0.7006
F 0.9490 0.2360 0.0073

# 2
A plane-wave DFT calculation with SCAN was carried out for a PBEsol-optimized structure of Mn2W2Au.

Computed properties:
symmetry = No. 139
DFT formation energy = 557 meV per atom

Cell: 5.5670 5.5670 5.5670 Å, 137.95 137.95 60.98°
Fractional coordinates of all 5 atoms:
Mn 0.1126 0.1126 0.0000
Mn 0.8874 0.8874 0.0000
W 0.2500 0.7500 0.5000
W 0.7500 0.2500 0.5000
Au 0.5000 0.5000 0.0000